Material: Li2Bi2As
Method: DFT, GGA-PBE
State: optimized geometry

a b c (Å): 6.909 6.909 4.723
angles (deg): 90.00 90.00 90.00
Positions (direct):
Li: 0.149 0.351 0.000
Li: 0.351 0.851 0.000
Li: 0.649 0.149 0.000
Li: 0.851 0.649 0.000
Bi: 0.166 0.666 0.500
Bi: 0.334 0.166 0.500
Bi: 0.666 0.834 0.500
Bi: 0.834 0.334 0.500
As: 0.000 0.000 0.000
As: 0.500 0.500 0.000

## Properties
Formation energy from the elements in meV/atom: -181
VASP energy in eV/atom: -3.429
M_tot in μB per formula unit: 0.00
ΔE to the lowest computed polymorph in eV/atom: 0.000



Material: Rb2Cd3InPb4
Method: DFT, GGA-PBE
State: optimized geometry

a b c (Å): 5.085 5.085 13.125
angles (deg): 90.00 90.00 90.00
Positions (direct):
Rb: 0.000 0.500 0.247
Rb: 0.500 0.000 0.753
Cd: 0.000 0.000 0.000
Cd: 0.000 0.500 0.639
Cd: 0.500 0.000 0.361
In: 0.500 0.500 0.000
Pb: 0.000 0.000 0.500
Pb: 0.000 0.500 0.866
Pb: 0.500 0.000 0.134
Pb: 0.500 0.500 0.500

## Properties
Formation energy from the elements in meV/atom: -101
VASP energy in eV/atom: -2.326
M_tot in μB per formula unit: 0.00



Material: NaCeGaI6
Method: DFT, GGA-PBE
State: optimized geometry

a b c (Å): 7.546 7.546 13.997
angles (deg): 90.00 90.00 90.00
Positions (direct):
Na: 0.000 0.000 0.000
Na: 0.500 0.500 0.500
Ce: 0.000 0.000 0.333
Ce: 0.500 0.500 0.833
Ga: 0.000 0.000 0.666
Ga: 0.500 0.500 0.166
I: 0.192 0.192 0.494
I: 0.197 0.197 0.176
I: 0.214 0.214 0.834
I: 0.286 0.714 0.334
I: 0.303 0.697 0.676
I: 0.308 0.692 0.994
I: 0.692 0.308 0.994
I: 0.697 0.303 0.676
I: 0.714 0.286 0.334
I: 0.786 0.786 0.834
I: 0.803 0.803 0.176
I: 0.808 0.808 0.494

## Properties
Raw formation energy in eV/atom: -0.984
VASP energy in eV/atom: -3.159
M_tot in μB per formula unit: 0.08



Material: TaZnBr2
Method: DFT, GGA-PBE
State: optimized geometry

a b c (Å): 11.260 11.260 11.260
angles (deg): 16.76 16.76 16.76
Positions (direct):
Ta: 0.000 0.000 0.000
Zn: 0.500 0.500 0.500
Br: 0.391 0.391 0.391
Br: 0.609 0.609 0.609

## Properties
Raw formation energy in eV/atom: -0.089
VASP energy in eV/atom: -4.207
M_tot in μB per formula unit: 0.00
ΔE to the lowest computed polymorph in eV/atom: 0.088



Material: KCr2Ir
Method: DFT, GGA-PBE
State: optimized geometry

a b c (Å): 8.670 8.670 8.670
angles (deg): 160.83 153.25 33.12
Positions (direct):
K: 0.000 0.000 0.000
Cr: 0.332 0.832 0.500
Cr: 0.671 0.671 0.000
Ir: 0.795 0.295 0.500

## Properties
Formation energy from the elements in meV/atom: 789
VASP energy in eV/atom: -6.512
M_tot in μB per formula unit: 7.18
ΔE to the lowest computed polymorph in eV/atom: 0.214



Material: YErTeC
Method: DFT, GGA-PBE
State: optimized geometry

a b c (Å): 7.405 7.405 7.405
angles (deg): 29.72 29.72 29.72
Positions (direct):
Y: 0.000 0.000 0.000
Er: 0.790 0.790 0.790
Te: 0.228 0.228 0.228
C: 0.398 0.398 0.398

## Properties
Raw formation energy in eV/atom: -0.841
VASP energy in eV/atom: -6.689
M_tot in μB per formula unit: 0.00



Material: SrBeN2
Method: DFT, GGA-PBE
State: optimized geometry

a b c (Å): 6.464 6.464 6.464
angles (deg): 28.48 28.48 28.48
Positions (direct):
Sr: 0.000 0.000 0.000
Be: 0.500 0.500 0.500
N: 0.127 0.127 0.127
N: 0.873 0.873 0.873

## Properties
Raw formation energy in eV/atom: 1.075
VASP energy in eV/atom: -4.440
M_tot in μB per formula unit: 0.86



Material: USn4Se7
Method: DFT, GGA-PBE
State: optimized geometry

a b c (Å): 7.194 7.194 13.117
angles (deg): 105.04 105.04 33.29
Positions (direct):
U: 0.000 0.000 0.000
Sn: 0.096 0.096 0.422
Sn: 0.253 0.253 0.849
Sn: 0.431 0.431 0.580
Sn: 0.773 0.773 0.258
Se: 0.078 0.078 0.624
Se: 0.119 0.119 0.207
Se: 0.385 0.385 0.056
Se: 0.443 0.443 0.369
Se: 0.615 0.615 0.953
Se: 0.743 0.743 0.459
Se: 0.871 0.871 0.796

## Properties
Raw formation energy in eV/atom: -0.578
VASP energy in eV/atom: -4.886
M_tot in μB per formula unit: 1.47



Material: K2MgSe
Method: DFT, GGA-PBE
State: optimized geometry

a b c (Å): 5.311 5.311 4.651
angles (deg): 90.00 90.00 90.00
Positions (direct):
K: 0.000 0.500 0.000
K: 0.500 0.000 0.000
Mg: 0.000 0.000 0.500
Se: 0.500 0.500 0.500

## Properties
Raw formation energy in eV/atom: -0.418
VASP energy in eV/atom: -2.237
M_tot in μB per formula unit: 0.00
ΔE to the lowest computed polymorph in eV/atom: 0.206



Material: CsBe2Br2
Method: DFT, GGA-PBE
State: optimized geometry

a b c (Å): 10.044 10.044 10.044
angles (deg): 159.37 159.37 29.34
Positions (direct):
Cs: 0.000 0.000 0.000
Be: 0.250 0.750 0.500
Be: 0.750 0.250 0.500
Br: 0.373 0.373 0.000
Br: 0.627 0.627 0.000

## Properties
Raw formation energy in eV/atom: 0.004
VASP energy in eV/atom: -2.326
M_tot in μB per formula unit: 0.00
ΔE to the lowest computed polymorph in eV/atom: 0.000



Material: Y2Zn15Cd2
Method: DFT, GGA-PBE
State: optimized geometry

a b c (Å): 6.886 6.886 6.886
angles (deg): 82.86 82.86 82.86
Positions (direct):
Y: 0.158 0.158 0.158
Y: 0.842 0.842 0.842
Zn: 0.000 0.500 0.500
Zn: 0.146 0.146 0.667
Zn: 0.146 0.667 0.146
Zn: 0.198 0.500 0.802
Zn: 0.198 0.802 0.500
Zn: 0.333 0.854 0.854
Zn: 0.500 0.000 0.500
Zn: 0.500 0.198 0.802
Zn: 0.500 0.500 0.000
Zn: 0.500 0.802 0.198
Zn: 0.667 0.146 0.146
Zn: 0.802 0.198 0.500
Zn: 0.802 0.500 0.198
Zn: 0.854 0.333 0.854
Zn: 0.854 0.854 0.333
Cd: 0.394 0.394 0.394
Cd: 0.606 0.606 0.606

## Properties
Formation energy from the elements in meV/atom: -214
VASP energy in eV/atom: -1.997
M_tot in μB per formula unit: 0.00



Material: AlPt2W
Method: DFT, GGA-PBE
State: optimized geometry

a b c (Å): 3.884 3.884 4.071
angles (deg): 90.00 90.00 90.00
Positions (direct):
Al: 0.000 0.000 0.000
Pt: 0.000 0.500 0.500
Pt: 0.500 0.000 0.500
W: 0.500 0.500 0.000

## Properties
Formation energy from the elements in meV/atom: -255
VASP energy in eV/atom: -7.450
M_tot in μB per formula unit: 0.00



Material: Dy5TcBi2
Method: DFT, GGA-PBE
State: optimized geometry

a b c (Å): 8.587 8.587 13.758
angles (deg): 90.00 90.00 142.11
Positions (direct):
Dy: 0.055 0.945 0.616
Dy: 0.055 0.945 0.884
Dy: 0.275 0.725 0.597
Dy: 0.275 0.725 0.903
Dy: 0.301 0.699 0.250
Dy: 0.699 0.301 0.750
Dy: 0.725 0.275 0.097
Dy: 0.725 0.275 0.403
Dy: 0.945 0.055 0.116
Dy: 0.945 0.055 0.384
Tc: 0.167 0.833 0.750
Tc: 0.833 0.167 0.250
Bi: 0.142 0.858 0.090
Bi: 0.142 0.858 0.410
Bi: 0.858 0.142 0.590
Bi: 0.858 0.142 0.910

## Properties
Formation energy from the elements in meV/atom: -75
VASP energy in eV/atom: -5.217
M_tot in μB per formula unit: 0.00



Material: Y2TlHg2
Method: DFT, GGA-PBE
State: optimized geometry

a b c (Å): 8.901 8.901 8.901
angles (deg): 153.12 153.12 38.38
Positions (direct):
Y: 0.102 0.102 0.000
Y: 0.898 0.898 0.000
Tl: 0.500 0.500 0.000
Hg: 0.250 0.750 0.500
Hg: 0.750 0.250 0.500

## Properties
Formation energy from the elements in meV/atom: -123
VASP energy in eV/atom: -3.302
M_tot in μB per formula unit: 0.00
ΔE to the lowest computed polymorph in eV/atom: 0.275



Material: Np2UPaAs4
Method: DFT, GGA-PBE
State: optimized geometry

a b c (Å): 7.002 4.066 7.221
angles (deg): 90.00 109.15 90.00
Positions (direct):
Np: 0.000 0.000 0.000
Np: 0.000 0.500 0.500
U: 0.500 0.000 0.500
Pa: 0.500 0.500 0.000
As: 0.251 0.000 0.750
As: 0.252 0.500 0.251
As: 0.748 0.500 0.749
As: 0.749 0.000 0.250

## Properties
Formation energy from the elements in meV/atom: -777
VASP energy in eV/atom: -8.935
M_tot in μB per formula unit: 2.17



Material: AcHfIr2
Method: DFT, GGA-PBE
State: optimized geometry

a b c (Å): 3.401 3.401 7.347
angles (deg): 90.00 90.00 90.00
Positions (direct):
Ac: 0.000 0.000 0.000
Hf: 0.000 0.000 0.500
Ir: 0.500 0.500 0.299
Ir: 0.500 0.500 0.701

## Properties
Formation energy from the elements in meV/atom: -633
VASP energy in eV/atom: -8.579
M_tot in μB per formula unit: 0.00



Material: BaCaTe2
Method: DFT, GGA-PBE
State: optimized geometry

a b c (Å): 8.270 8.270 8.270
angles (deg): 33.48 33.48 33.48
Positions (direct):
Ba: 0.000 0.000 0.000
Ca: 0.500 0.500 0.500
Te: 0.241 0.241 0.241
Te: 0.759 0.759 0.759

## Properties
Raw formation energy in eV/atom: -1.696
VASP energy in eV/atom: -4.248
M_tot in μB per formula unit: 0.00
ΔE to the lowest computed polymorph in eV/atom: 0.000



Material: VCoRh3
Method: DFT, GGA-PBE
State: optimized geometry

a b c (Å): 4.442 4.442 4.442
angles (deg): 90.00 90.00 90.00
Positions (direct):
V: 0.000 0.000 0.000
Co: 0.500 0.500 0.500
Rh: 0.000 0.000 0.500
Rh: 0.000 0.500 0.000
Rh: 0.500 0.000 0.000

## Properties
Formation energy from the elements in meV/atom: 963
VASP energy in eV/atom: -6.693
M_tot in μB per formula unit: 2.58
ΔE to the lowest computed polymorph in eV/atom: 1.191



Material: KCa2Fe
Method: DFT, GGA-PBE
State: optimized geometry

a b c (Å): 4.940 5.256 5.269
angles (deg): 90.00 90.00 90.00
Positions (direct):
K: 0.000 0.000 0.000
Ca: 0.500 0.000 0.500
Ca: 0.500 0.500 0.000
Fe: 0.000 0.500 0.500

## Properties
Formation energy from the elements in meV/atom: 740
VASP energy in eV/atom: -2.651
M_tot in μB per formula unit: 2.28
ΔE to the lowest computed polymorph in eV/atom: 0.337



Material: Be2CdRu
Method: DFT, GGA-PBE
State: optimized geometry

a b c (Å): 2.723 2.723 7.905
angles (deg): 90.00 90.00 112.55
Positions (direct):
Be: 0.000 0.000 0.211
Be: 0.000 0.000 0.789
Cd: 0.500 0.500 0.500
Ru: 0.500 0.500 0.000

## Properties
Formation energy from the elements in meV/atom: 253
VASP energy in eV/atom: -4.158
M_tot in μB per formula unit: 0.00